LaMgPb2 | GGA-PBEsol | optimized geometry

Formation energy from the elements = -0.9 eV per formula unit
Total moment = 0.0 Bohr magnetons per cell

Cell lengths 3.606, 4.759, 6.702 Å; angles 90.00, 90.00, 90.00 degrees
Sites, in units of the cell vectors:
La (0.000, 0.000, 0.000)
Mg (0.500, 0.500, 0.294)
Pb (0.000, 0.000, 0.496)
Pb (0.500, 0.500, 0.775)

LaMg2Pb | GGA-PBEsol | optimized geometry

Formation energy from the elements = -0.8 eV per formula unit
Total moment = 0.0 Bohr magnetons per cell

Cell lengths 3.408, 5.272, 6.126 Å; angles 90.00, 96.60, 90.00 degrees
Sites, in units of the cell vectors:
La (0.000, 0.000, 0.000)
Mg (0.391, 0.500, 0.743)
Mg (0.609, 0.500, 0.257)
Pb (0.500, 0.000, 0.500)

LaMg3Pb | GGA-PBEsol | optimized geometry

Formation energy from the elements = 5.4 eV per formula unit
Total moment = 0.0 Bohr magnetons per cell

Cell lengths 5.774, 5.774, 5.774 Å; angles 90.00, 90.00, 90.00 degrees
Sites, in units of the cell vectors:
La (0.000, 0.000, 0.000)
Mg (0.000, 0.000, 0.500)
Mg (0.000, 0.500, 0.000)
Mg (0.500, 0.000, 0.000)
Pb (0.500, 0.500, 0.500)

LaMgPb3 | GGA-PBEsol | optimized geometry

Formation energy from the elements = 0.2 eV per formula unit
Total moment = 0.0 Bohr magnetons per cell

Cell lengths 5.383, 5.383, 5.383 Å; angles 90.00, 90.00, 90.00 degrees
Sites, in units of the cell vectors:
La (0.000, 0.000, 0.000)
Mg (0.500, 0.500, 0.500)
Pb (0.000, 0.500, 0.500)
Pb (0.500, 0.000, 0.500)
Pb (0.500, 0.500, 0.000)

LaMg2Pb | GGA-PBEsol | optimized geometry

Formation energy from the elements = -0.9 eV per formula unit
Total moment = 0.0 Bohr magnetons per cell

Cell lengths 3.336, 4.377, 7.336 Å; angles 90.00, 90.00, 90.00 degrees
Sites, in units of the cell vectors:
La (0.000, 0.000, 0.000)
Mg (0.000, 0.000, 0.503)
Mg (0.500, 0.500, 0.296)
Pb (0.500, 0.500, 0.725)

LaMgPb2 | GGA-PBEsol | optimized geometry

Formation energy from the elements = -1.5 eV per formula unit
Total moment = 0.0 Bohr magnetons per cell

Cell lengths 6.264, 6.264, 6.264 Å; angles 137.46, 136.94, 62.13 degrees
Sites, in units of the cell vectors:
La (0.000, 0.000, 0.000)
Mg (0.251, 0.751, 0.500)
Pb (0.504, 0.504, 0.000)
Pb (0.750, 0.250, 0.500)